1.
# Mn3CdBr8

A geometry-optimized Mn3CdBr8 structure (PBE-GGA, Alexandria).

Its total energy is -51.41 eV for the cell shown. Its space-group type is C2/m (12).

POSCAR file:
```
Mn3CdBr8
1.0
6.8145 -3.9326 0.0000
6.8145 3.9326 0.0000
-4.5944 0.0000 6.8871
Mn Cd Br
3 1 8
direct
0.0000 0.0000 0.0000 Mn
0.0000 0.5000 0.0000 Mn
0.5000 0.0000 0.0000 Mn
0.5000 0.5000 0.0000 Cd
0.2309 0.7470 0.2223 Br
0.2399 0.2399 0.2176 Br
0.2528 0.2528 0.7777 Br
0.2530 0.7691 0.7777 Br
0.7470 0.2309 0.2223 Br
0.7472 0.7472 0.2223 Br
0.7601 0.7601 0.7824 Br
0.7691 0.2530 0.7777 Br
```

---

2.
# Na2ZrBiO

A geometry-optimized Na2ZrBiO structure (PBE-GGA, Alexandria).

Its total energy is -14.62 eV for the cell shown. Its space-group type is P4/mmm (123).

POSCAR file:
```
Na2ZrBiO
1.0
6.5011 0.0000 0.0000
0.0000 6.5011 0.0000
0.0000 0.0000 5.5057
Na Zr Bi O
2 1 1 1
direct
0.0000 0.5000 0.0000 Na
0.5000 0.0000 0.0000 Na
0.0000 0.0000 0.0000 Zr
0.0000 0.0000 0.5000 Bi
0.5000 0.5000 0.5000 O
```

---

3.
# HoTmMnFe

A geometry-optimized HoTmMnFe structure (PBE-GGA, Alexandria).

The calculation puts the formation enthalpy at 0 K at 0.15 eV/atom. Its total energy is -26.07 eV for the cell shown. Its space-group type is F-43m (216).

POSCAR file:
```
HoTmMnFe
1.0
0.0000 3.4269 3.4269
3.4269 0.0000 3.4269
3.4269 3.4269 0.0000
Ho Tm Mn Fe
1 1 1 1
direct
0.0000 0.0000 0.0000 Ho
0.5000 0.5000 0.5000 Tm
0.7500 0.7500 0.7500 Mn
0.2500 0.2500 0.2500 Fe
```

---

4.
# Nd8Sm5Th

A geometry-optimized Nd8Sm5Th structure (PBE-GGA, Alexandria).

The calculation puts the formation enthalpy at 0 K at 0.19 eV/atom. Its total energy is -66.44 eV for the cell shown. Its space-group type is C2 (5).

POSCAR file:
```
Nd8Sm5Th
1.0
7.8708 -4.2841 0.0000
7.8708 4.2841 0.0000
-4.4515 0.0000 7.4113
Nd Sm Th
8 5 1
direct
0.0947 0.5234 0.0656 Nd
0.1248 0.1248 0.1888 Nd
0.4194 0.2159 0.7637 Nd
0.4766 0.9053 0.9344 Nd
0.5980 0.0372 0.4262 Nd
0.7841 0.5806 0.2363 Nd
0.8752 0.8752 0.8112 Nd
0.9628 0.4020 0.5738 Nd
0.0435 0.9565 0.5000 Sm
0.2653 0.5113 0.5145 Sm
0.4887 0.7347 0.4855 Sm
0.6279 0.2732 0.2168 Sm
0.7268 0.3721 0.7832 Sm
0.3536 0.6464 0.0000 Th
```

---

Spin magnetization list, top to bottom, in μB/atom: 1.25; 0.36; 1.19; 0.00